Record 1
Here is LiMnPCl2 after structural relaxation from Alexandria via LeMat-Bulk. Energies are from PBE-GGA.

```
LiMnPCl2
1.0
5.1031 0.0000 0.0000
0.0000 5.1031 0.0000
0.0000 0.0000 4.7244
Li Mn P Cl
1 1 1 2
direct
0.0000 0.0000 0.0000 Li
0.5000 0.5000 0.0000 Mn
0.0000 0.0000 0.5000 P
0.0000 0.5000 0.5000 Cl
0.5000 0.0000 0.5000 Cl
```

* raw formation energy: 1.34 eV/f.u.
* total DFT energy (no corrections): -18.84 eV per cell

Record 2
Here is LiMnPCl2 after structural relaxation from Alexandria via LeMat-Bulk. Energies are from PBE-GGA.

```
LiMnPCl2
1.0
4.4294 0.0000 0.0000
0.0000 4.4294 0.0000
0.0000 0.0000 5.2711
Li Mn P Cl
1 1 1 2
direct
0.0000 0.0000 0.0000 Li
0.5000 0.5000 0.5000 Mn
0.0000 0.0000 0.5000 P
0.0000 0.5000 0.0000 Cl
0.5000 0.0000 0.0000 Cl
```

* raw formation energy: 0.18 eV/f.u.
* total DFT energy (no corrections): -20.01 eV per cell

Record 3
Here is LiMnPb2Cl8 after structural relaxation from Alexandria via LeMat-Bulk. Energies are from PBE-GGA.

```
LiMnPb2Cl8
1.0
6.1621 0.0000 0.0000
-0.0331 6.5792 0.0000
-0.0065 -0.0047 8.2179
Li Mn Pb Cl
1 1 2 8
direct
0.0000 0.0000 0.0000 Li
0.0000 0.0000 0.5000 Mn
0.4998 0.4999 0.2511 Pb
0.5002 0.5001 0.7489 Pb
0.2112 0.1371 0.2933 Cl
0.2116 0.1373 0.7067 Cl
0.2382 0.6709 0.5000 Cl
0.2540 0.7065 0.9999 Cl
0.7460 0.2935 0.0001 Cl
0.7618 0.3291 0.5000 Cl
0.7884 0.8627 0.2933 Cl
0.7888 0.8629 0.7067 Cl
```

* raw formation energy: -13.75 eV/f.u.
* total DFT energy (no corrections): -47.02 eV per cell

Record 4
Here is LiMnPbCl6 after structural relaxation from Alexandria via LeMat-Bulk. Energies are from PBE-GGA.

```
LiMnPbCl6
1.0
6.4738 0.0000 0.0000
-3.2369 5.6065 0.0000
0.0000 0.0000 12.3506
Li Mn Pb Cl
2 2 2 12
direct
0.3333 0.6667 0.2500 Li
0.6667 0.3333 0.7500 Li
0.3333 0.6667 0.7500 Mn
0.6667 0.3333 0.2500 Mn
0.0000 0.0000 0.0000 Pb
0.0000 0.0000 0.5000 Pb
0.0196 0.3742 0.6385 Cl
0.0196 0.6454 0.8615 Cl
0.3546 0.3742 0.8615 Cl
0.3546 0.9804 0.6385 Cl
0.3742 0.0196 0.1385 Cl
0.3742 0.3546 0.3615 Cl
0.6258 0.6454 0.6385 Cl
0.6258 0.9804 0.8615 Cl
0.6454 0.0196 0.3615 Cl
0.6454 0.6258 0.1385 Cl
0.9804 0.3546 0.1385 Cl
0.9804 0.6258 0.3615 Cl
```

* raw formation energy: -10.67 eV/f.u.
* total DFT energy (no corrections): -73.08 eV per cell

Record 5
Here is Li2MnPdCl after structural relaxation from Alexandria via LeMat-Bulk. Energies are from PBE-GGA.

```
Li2MnPdCl
1.0
5.3145 0.0000 0.0000
0.0000 5.3145 0.0000
0.0000 0.0000 4.6278
Li Mn Pd Cl
2 1 1 1
direct
0.0000 0.5000 0.0000 Li
0.5000 0.0000 0.0000 Li
0.0000 0.0000 0.0000 Mn
0.0000 0.0000 0.5000 Pd
0.5000 0.5000 0.5000 Cl
```

* raw formation energy: 1.64 eV/f.u.
* total DFT energy (no corrections): -18.40 eV per cell

Record 6
Here is RbLi2MnCl8 after structural relaxation from Alexandria via LeMat-Bulk. Energies are from PBE-GGA.

```
RbLi2MnCl8
1.0
5.8006 0.0000 0.0000
0.6279 6.2634 0.0000
1.9466 0.6459 8.4190
Rb Li Mn Cl
1 2 1 8
direct
0.0000 0.0000 0.0000 Rb
0.4037 0.4877 0.7053 Li
0.5963 0.5123 0.2947 Li
0.5000 0.0000 0.5000 Mn
0.1783 0.8379 0.6391 Cl
0.2540 0.4949 0.9967 Cl
0.2783 0.3228 0.4810 Cl
0.4309 0.9007 0.2663 Cl
0.5691 0.0993 0.7337 Cl
0.7217 0.6772 0.5190 Cl
0.7460 0.5051 0.0033 Cl
0.8217 0.1621 0.3609 Cl
```

* raw formation energy: -14.90 eV/f.u.
* total DFT energy (no corrections): -43.63 eV per cell

Record 7
Here is Rb2LiMnCl5 after structural relaxation from Alexandria via LeMat-Bulk. Energies are from PBE-GGA.

```
Rb2LiMnCl5
1.0
2.1226 -9.6406 0.0000
2.1226 9.6406 0.0000
0.0000 0.0000 12.8049
Rb Li Mn Cl
4 2 2 10
direct
0.1152 0.8848 0.5000 Rb
0.1238 0.8762 0.1312 Rb
0.8762 0.1238 0.6312 Rb
0.8848 0.1152 0.0000 Rb
0.2258 0.7742 0.8477 Li
0.7742 0.2258 0.3477 Li
0.4106 0.5894 0.2808 Mn
0.5894 0.4106 0.7808 Mn
0.0485 0.9515 0.8562 Cl
0.3087 0.6913 0.1745 Cl
0.3144 0.6856 0.4366 Cl
0.3430 0.6570 0.8204 Cl
0.4885 0.5115 0.1316 Cl
0.5115 0.4885 0.6316 Cl
0.6570 0.3430 0.3204 Cl
0.6856 0.3144 0.9366 Cl
0.6913 0.3087 0.6745 Cl
0.9515 0.0485 0.3562 Cl
```

* raw formation energy: -14.59 eV/f.u.
* total DFT energy (no corrections): -73.68 eV per cell

Record 8
Here is RbLiMn2Cl6 after structural relaxation from Alexandria via LeMat-Bulk. Energies are from PBE-GGA.

```
RbLiMn2Cl6
1.0
6.7334 -6.8025 0.0000
6.7334 6.8025 0.0000
-2.9105 0.0000 7.1359
Rb Li Mn Cl
2 2 4 12
direct
0.1207 0.8793 0.7500 Rb
0.8793 0.1207 0.2500 Rb
0.2091 0.7909 0.2500 Li
0.7909 0.2091 0.7500 Li
0.2341 0.3874 0.8221 Mn
0.3874 0.2341 0.3221 Mn
0.6126 0.7659 0.6779 Mn
0.7659 0.6126 0.1779 Mn
0.0334 0.2100 0.6998 Cl
0.1724 0.6184 0.9549 Cl
0.2100 0.0334 0.1998 Cl
0.3031 0.4091 0.5487 Cl
0.3816 0.8276 0.5451 Cl
0.4091 0.3031 0.0487 Cl
0.5909 0.6969 0.9513 Cl
0.6184 0.1724 0.4549 Cl
0.6969 0.5909 0.4513 Cl
0.7900 0.9666 0.8002 Cl
0.8276 0.3816 0.0451 Cl
0.9666 0.7900 0.3002 Cl
```

* raw formation energy: -13.96 eV/f.u.
* total DFT energy (no corrections): -92.53 eV per cell

Record 9
Here is LiMnSCl2 after structural relaxation from Alexandria via LeMat-Bulk. Energies are from PBE-GGA.

```
LiMnSCl2
1.0
4.4777 0.0000 0.0000
0.0000 4.4777 0.0000
0.0000 0.0000 4.9195
Li Mn S Cl
1 1 1 2
direct
0.0000 0.0000 0.0000 Li
0.5000 0.5000 0.5000 Mn
0.0000 0.0000 0.5000 S
0.0000 0.5000 0.0000 Cl
0.5000 0.0000 0.0000 Cl
```

* raw formation energy: -1.19 eV/f.u.
* total DFT energy (no corrections): -20.10 eV per cell

Record 10
Here is LiMnSCl2 after structural relaxation from Alexandria via LeMat-Bulk. Energies are from PBE-GGA.

```
LiMnSCl2
1.0
4.8998 0.0000 0.0000
0.0000 4.8998 0.0000
0.0000 0.0000 4.5932
Li Mn S Cl
1 1 1 2
direct
0.0000 0.0000 0.0000 Li
0.5000 0.5000 0.5000 Mn
0.5000 0.5000 0.0000 S
0.0000 0.5000 0.5000 Cl
0.5000 0.0000 0.5000 Cl
```

* raw formation energy: -3.86 eV/f.u.
* total DFT energy (no corrections): -22.76 eV per cell

Record 11
Here is Li2MnSCl after structural relaxation from Alexandria via LeMat-Bulk. Energies are from PBE-GGA.

```
Li2MnSCl
1.0
4.1139 0.0000 0.0000
0.0000 4.1139 0.0000
0.0000 0.0000 6.8449
Li Mn S Cl
2 1 1 1
direct
0.0000 0.5000 0.0000 Li
0.5000 0.0000 0.0000 Li
0.0000 0.0000 0.5000 Mn
0.5000 0.5000 0.5000 S
0.5000 0.5000 0.0000 Cl
```

* raw formation energy: -1.26 eV/f.u.
* total DFT energy (no corrections): -20.24 eV per cell

Record 12
Here is LiScMnCl6 after structural relaxation from Alexandria via LeMat-Bulk. Energies are from PBE-GGA.

```
LiScMnCl6
1.0
6.3219 0.0000 0.0000
-3.1610 5.4750 0.0000
0.0000 0.0000 11.4862
Li Sc Mn Cl
2 2 2 12
direct
0.3333 0.6667 0.2500 Li
0.6667 0.3333 0.7500 Li
0.3333 0.6667 0.7500 Sc
0.6667 0.3333 0.2500 Sc
0.0000 0.0000 0.0000 Mn
0.0000 0.0000 0.5000 Mn
0.0077 0.3389 0.6260 Cl
0.0077 0.6689 0.8740 Cl
0.3311 0.3389 0.8740 Cl
0.3311 0.9923 0.6260 Cl
0.3389 0.0077 0.1260 Cl
0.3389 0.3311 0.3740 Cl
0.6611 0.6689 0.6260 Cl
0.6611 0.9923 0.8740 Cl
0.6689 0.0077 0.3740 Cl
0.6689 0.6611 0.1260 Cl
0.9923 0.3311 0.1260 Cl
0.9923 0.6611 0.3740 Cl
```

* raw formation energy: -14.93 eV/f.u.
* total DFT energy (no corrections): -86.84 eV per cell